Record 1
Here is LaPm6Sm4 after structural relaxation from Alexandria. Energies are from PBE. Values from VASP.

```
&SYSTEM
  ibrav = 0, nat = 11, ntyp = 3
/
ATOMIC_SPECIES
La 138.91 La.upf
Pm 145.00 Pm.upf
Sm 150.36 Sm.upf
CELL_PARAMETERS angstrom
-3.8880 3.8880 6.6720
3.8880 -3.8880 6.6720
3.8880 3.8880 -6.6720
ATOMIC_POSITIONS angstrom
La 0.0000 0.0000 0.0000
Pm 3.8880 0.0000 0.0000
Pm 2.0328 -2.0328 4.1580
Pm 1.8552 1.8552 2.5140
Pm 0.0000 3.8880 0.0000
Pm -2.0328 2.0328 4.1580
Pm 2.0328 2.0328 9.1861
Sm 2.5798 2.5798 -1.0340
Sm 1.3082 -1.3082 7.7061
Sm 1.3082 1.3082 5.6380
Sm -1.3082 1.3082 7.7061
```

As for the density of states at the Fermi level: 1.36 states/eV/atom. The value obtained for the formation energy is 35.50 kJ/mol of atoms. The volume comes out at 403.43 Å³ per cell. The space-group type is I-42m, No. 121.

***

Record 2
Here is CeThInTc after structural relaxation from Alexandria. Energies are from PBE. Values from VASP.

```
&SYSTEM
  ibrav = 0, nat = 4, ntyp = 4
/
ATOMIC_SPECIES
Ce 140.12 Ce.upf
Th 232.04 Th.upf
In 114.82 In.upf
Tc 98.00 Tc.upf
CELL_PARAMETERS angstrom
3.4224 0.0000 0.0000
0.0000 3.4224 0.0000
0.0000 0.0000 8.6313
ATOMIC_POSITIONS angstrom
Ce 0.0000 0.0000 0.0000
Th 0.0000 0.0000 3.5299
In 1.7112 1.7112 6.1314
Tc 1.7112 1.7112 1.7239
```

As for the density of states at the Fermi level: 1.19 states/eV/atom. The value obtained for the formation energy is -20.40 kJ/mol of atoms. The energy above the most stable polymorph in this dataset is 0.0 meV/atom. The volume comes out at 101.10 Å³ per cell. The space-group type is P4mm, No. 99.

***

Record 3
Here is Hf6Zn3Os after structural relaxation from Alexandria. Energies are from PBE. Values from VASP.

```
&SYSTEM
  ibrav = 0, nat = 20, ntyp = 3
/
ATOMIC_SPECIES
Hf 178.49 Hf.upf
Zn 65.41 Zn.upf
Os 190.23 Os.upf
CELL_PARAMETERS angstrom
5.3810 0.0000 0.0000
0.0000 8.0555 0.0000
-5.1984 0.0000 9.3653
ATOMIC_POSITIONS angstrom
Hf -2.1311 1.4505 4.1877
Hf -4.7303 2.5773 8.8703
Hf -0.4143 5.4418 4.2622
Hf -3.0135 6.6415 8.9448
Hf 0.8735 0.7786 2.2747
Hf -1.7257 3.2492 6.9573
Hf 1.9083 4.8063 2.4080
Hf -0.6909 7.2769 7.0906
Hf 3.1960 1.4140 0.4205
Hf 0.5968 2.6137 5.1031
Hf 4.9129 5.4782 0.4950
Hf 2.3137 6.6050 5.1776
Zn -3.2984 0.7503 7.0624
Zn -0.6992 3.2775 2.3798
Zn 0.0913 0.0000 4.6826
Zn 2.6905 4.0277 0.0000
Zn 0.8818 4.7780 6.9855
Zn 3.4810 7.3052 2.3029
Os 0.0000 0.0000 0.0000
Os -2.5992 4.0277 4.6826
```

As for the density of states at the Fermi level: 0.82 states/eV/atom. The value obtained for the formation energy is -0.77 kJ/mol of atoms. The volume comes out at 405.95 Å³ per cell. The space-group type is P2_1/c, No. 14.